The following is a GGA-PBE calculation of a relaxed As3RhCl crystal, from Alexandria.

Summary:
SG = No. 221
uncorrected formation energy = 1.257 eV per atom

a b c (Å): 4.719 4.719 4.719
angles (deg): 90.00 90.00 90.00
Fractional positions:
As 0.000 0.500 0.000
As 0.000 0.000 0.500
As 0.500 0.000 0.000
Rh 0.500 0.500 0.500
Cl 0.000 0.000 0.000